Entry 1:
DFT (GGA-PBE) results for a relaxed structure of Ba5Na2.

Values from the calculation:
Energy relative to the lowest polymorph listed for this composition in meV/atom: 0
Formation energy in kJ/mol of atoms: 1.5
Symmetry: I4/mmm, No. 139
E_tot in eV/atom: -1.735
Fermi-level density of states in states/eV per cell: 9.27

a b c (Å): 4.4621 4.4621 20.3023
angles (deg): 96.31 96.31 90.00
Element x y z (fractional)
Ba 0.1623 0.1623 0.3246
Ba 0.5806 0.5806 0.1611
Ba 0.0000 0.0000 0.0000
Ba 0.4194 0.4194 0.8389
Ba 0.8377 0.8377 0.6754
Na 0.2717 0.2717 0.5434
Na 0.7283 0.7283 0.4566

=====

Entry 2:
DFT (GGA-PBE) results for a relaxed structure of CaSc2Fe.

Values from the calculation:
Energy relative to the lowest polymorph listed for this composition in meV/atom: 192
Formation energy in kJ/mol of atoms: 18.4
Symmetry: R-3m, No. 166
E_tot in eV/atom: -5.591
Fermi-level density of states in states/eV per cell: 3.59

a b c (Å): 9.4368 9.4368 9.4368
angles (deg): 21.64 21.64 21.64
Site moments in Bohr magnetons follow the coordinates.
Element x y z (fractional)
Sc 0.0295 0.0295 0.0295  -0.14
Sc 0.4705 0.4705 0.4705  -0.14
Ca 0.2500 0.2500 0.2500  0.00
Fe 0.7500 0.7500 0.7500  0.83

=====

Entry 3:
DFT (GGA-PBE) results for a relaxed structure of RbCeAuS3.

Values from the calculation:
Symmetry: Cmcm, No. 63
E_tot in eV/atom: -5.059

a b c (Å): 4.1556 7.7112 10.5388
angles (deg): 90.00 90.00 105.63
Element x y z (fractional)
Rb 0.7409 0.4817 0.7500
Rb 0.2591 0.5183 0.2500
Ce 0.0000 0.0000 0.5000
Ce 0.0000 0.0000 0.0000
Au 0.4518 0.9036 0.7500
Au 0.5482 0.0964 0.2500
S 0.6205 0.2410 0.4580
S 0.3795 0.7590 0.5420
S 0.3795 0.7590 0.9580
S 0.6205 0.2410 0.0420
S 0.0590 0.1179 0.7500
S 0.9410 0.8821 0.2500

=====

Entry 4:
DFT (GGA-PBE) results for a relaxed structure of ZrV2Co2.

Values from the calculation:
Energy relative to the lowest polymorph listed for this composition in meV/atom: 107
Formation energy in kJ/mol of atoms: -2.9
Symmetry: P4/mbm, No. 127
E_tot in eV/atom: -8.229
Fermi-level density of states in states/eV per cell: 11.97

a b c (Å): 7.1710 7.1710 2.6752
angles (deg): 90.00 90.00 90.00
Element x y z (fractional)
Co 0.1406 0.6406 0.5000
Co 0.6406 0.8594 0.5000
Co 0.8594 0.3594 0.5000
Co 0.3594 0.1406 0.5000
Zr 0.0000 0.0000 0.0000
Zr 0.5000 0.5000 0.0000
V 0.3490 0.8490 0.0000
V 0.8490 0.6510 0.0000
V 0.6510 0.1510 0.0000
V 0.1510 0.3490 0.0000

=====

Entry 5:
DFT (GGA-PBE) results for a relaxed structure of TaAg3.

Values from the calculation:
Formation energy in kJ/mol of atoms: 42.3
Symmetry: I4/mmm, No. 139
E_tot in eV/atom: -4.663
Fermi-level density of states in states/eV per cell: 4.65

a b c (Å): 6.9121 6.9121 6.9121
angles (deg): 138.33 138.33 60.39
Element x y z (fractional)
Ta 0.3826 0.3826 0.0000
Ta 0.6174 0.6174 0.0000
Ag 0.5000 0.0000 0.5000
Ag 0.1270 0.1270 0.0000
Ag 0.8730 0.8730 0.0000
Ag 0.7500 0.2500 0.5000
Ag 0.2500 0.7500 0.5000
Ag 0.0000 0.5000 0.5000

=====

Entry 6:
DFT (GGA-PBE) results for a relaxed structure of Ca2OsAu.

Values from the calculation:
Formation energy in kJ/mol of atoms: 28.5
Symmetry: F-43m, No. 216
E_tot in eV/atom: -4.332
Fermi-level density of states in states/eV per cell: 5.32

a b c (Å): 4.9105 4.9105 4.9105
angles (deg): 60.00 60.00 60.00
Site moments in Bohr magnetons follow the coordinates.
Element x y z (fractional)
Os 0.7500 0.7500 0.7500  0.48
Ca 0.0000 0.0000 0.0000  0.01
Ca 0.2500 0.2500 0.2500  -0.02
Au 0.5000 0.5000 0.5000  0.02

=====

Entry 7:
DFT (GGA-PBE) results for a relaxed structure of Ho3PuTl4.

Values from the calculation:
Formation energy in kJ/mol of atoms: -23.3
Symmetry: P4/mmm, No. 123
E_tot in eV/atom: -4.933
Fermi-level density of states in states/eV per cell: 11.81

a b c (Å): 3.5494 3.5494 17.2325
angles (deg): 90.00 90.00 90.00
Site moments in Bohr magnetons follow the coordinates.
Element x y z (fractional)
Tl 0.0000 0.0000 0.8700  -0.02
Tl 0.0000 0.0000 0.1300  -0.02
Tl 0.0000 0.0000 0.3771  0.00
Tl 0.0000 0.0000 0.6229  0.00
Ho 0.5000 0.5000 0.2540  -0.21
Ho 0.5000 0.5000 0.5000  0.16
Ho 0.5000 0.5000 0.7460  -0.21
Pu 0.5000 0.5000 0.0000  5.54

=====

Entry 8:
DFT (GGA-PBE) results for a relaxed structure of HoAs2Pd7.

Values from the calculation:
Energy relative to the lowest polymorph listed for this composition in meV/atom: 0
Formation energy in kJ/mol of atoms: -57.7
Symmetry: I4/mmm, No. 139
E_tot in eV/atom: -5.621
Fermi-level density of states in states/eV per cell: 4.99

a b c (Å): 4.1244 4.1244 10.5750
angles (deg): 101.25 101.25 90.00
Element x y z (fractional)
Ho 0.0000 0.0000 0.0000
As 0.6739 0.6739 0.3477
As 0.3261 0.3261 0.6523
Pd 0.1030 0.6030 0.2059
Pd 0.3970 0.8970 0.7941
Pd 0.6030 0.1030 0.2059
Pd 0.5000 0.5000 0.0000
Pd 0.7500 0.2500 0.5000
Pd 0.8970 0.3970 0.7941
Pd 0.2500 0.7500 0.5000